[1]
Cu2ReMo | PBE-GGA | optimized geometry

Geometry as POSCAR:
```
Cu2ReMo
1.0
-1.352 2.257 -0.058
-0.698 -1.350 -2.149
-6.276 -3.648 4.330
Cu Mo Re
2 1 1
Direct
0.000 0.000 0.009
0.500 0.500 0.239
0.000 0.000 0.494
0.500 0.500 0.758
```

Summary:
Uncorrected energy = -7.663 eV/atom
ΔE_f = 0.205 eV per atom
Distance to the lowest polymorph of the same formula = 20 meV/atom
Spin magnetization = 0.0 μB per cell

---

[2]
CuReMo2 | PBE-GGA | optimized geometry

Geometry as POSCAR:
```
CuReMo2
1.0
4.326 0.000 0.000
0.000 2.639 0.007
0.000 1.263 5.222
Cu Mo Re
1 2 1
Direct
0.500 0.750 0.750
0.000 0.017 0.997
0.000 0.483 0.503
0.500 0.250 0.250
```

Summary:
Uncorrected energy = -9.361 eV/atom
ΔE_f = 0.191 eV per atom
Distance to the lowest polymorph of the same formula = 15 meV/atom
Spin magnetization = 0.0 μB per cell

---

[3]
CuReMo | PBE-GGA | optimized geometry

Geometry as POSCAR:
```
CuReMo
1.0
-1.119 1.790 3.846
-2.552 -3.073 -1.814
1.346 -1.860 1.258
Cu Mo Re
1 1 1
Direct
0.000 0.000 0.995
0.667 0.333 0.361
0.333 0.667 0.644
```

Summary:
Uncorrected energy = -8.984 eV/atom
ΔE_f = 0.141 eV per atom
Distance to the lowest polymorph of the same formula = 0 meV/atom
Spin magnetization = 0.0 μB per cell

---

[4]
CuReMo | PBE-GGA | optimized geometry

Geometry as POSCAR:
```
CuReMo
1.0
2.719 0.000 0.000
0.000 4.401 0.000
-1.360 0.000 7.212
Cu Re Mo
2 2 2
Direct
0.448 0.750 0.897
0.552 0.250 0.103
0.786 0.750 0.571
0.214 0.250 0.429
0.890 0.250 0.781
0.110 0.750 0.219
```

Summary:
Uncorrected energy = -8.885 eV/atom
ΔE_f = 0.240 eV per atom
Distance to the lowest polymorph of the same formula = 98 meV/atom
Spin magnetization = 0.0 μB per cell

---

[5]
CuReMo2 | PBE-GGA | optimized geometry

Geometry as POSCAR:
```
CuReMo2
1.0
9.243 0.012 0.007
8.827 2.741 0.007
8.827 1.345 2.388
Cu Mo Re
1 2 1
Direct
0.750 0.750 0.750
0.000 0.000 0.000
0.500 0.500 0.500
0.250 0.250 0.250
```

Summary:
Uncorrected energy = -9.266 eV/atom
ΔE_f = 0.286 eV per atom
Distance to the lowest polymorph of the same formula = 111 meV/atom
Spin magnetization = 0.0 μB per cell

---

[6]
Cu2ReMo | PBE-GGA | optimized geometry

Geometry as POSCAR:
```
Cu2ReMo
1.0
3.226 0.000 0.000
0.000 3.226 0.000
0.000 0.000 5.270
Cu Mo Re
2 1 1
Direct
0.000 0.000 0.996
0.000 0.000 0.504
0.500 0.500 0.250
0.500 0.500 0.750
```

Summary:
Uncorrected energy = -7.421 eV/atom
ΔE_f = 0.447 eV per atom
Distance to the lowest polymorph of the same formula = 261 meV/atom
Spin magnetization = 0.0 μB per cell

---

What is the formula in the third record? CuReMo

---

Look up the spin magnetization of the fifth one. 0.0 μB per cell

---

The lowest distance to the lowest polymorph of the same formula belongs to which entry? number 3